{
  "formula": "CeTmTh2",
  "functional": "PBE",
  "state": "optimized geometry",
  "lattice": [[-2.739, 3.423, -2.179], [-3.868, -1.219, 2.946], [1.518, 3.370, 3.386]],
  "species": ["Tm", "Ce", "Th", "Th"],
  "fractional_positions": [[0.500, 0.000, 0.000], [0.500, 0.500, 0.500], [0.000, 0.000, 0.500], [0.000, 0.500, 0.000]],
  "energy_ha_per_atom": -0.230,
  "delta_e_f_mev_per_atom": 62.9,
  "spacegroup": "P4/mmm",
  "n_ef_per_ev_cell": 9.25
}